The following is a DFT calculation (GGA+U) of a relaxed FeSeF2 crystal.

Computed properties:
E (Ry/atom): -0.273
Total magnetization (μB per formula unit): 3.70
Polymorph energy (0 for the lowest one) (eV per atom): 1.0075

POSCAR file:
```
FeSeF2
1.0
0.0000 3.0018 3.0018
3.0018 0.0000 3.0018
3.0018 3.0018 0.0000
Fe Se F
1 1 2
Cartesian
0.0000 0.0000 0.0000
3.0018 3.0018 3.0018
1.5009 1.5009 1.5009
4.5027 4.5027 4.5027
```